Entry 1:
The following is a DFT calculation (GGA-PBE) of crystalline MgSc4Al2Zn at its relaxed geometry.

Cell and atoms, written as POSCAR:
```
MgSc4Al2Zn
1.0
2.417 1.395 7.903
-2.417 1.395 7.903
0.000 -2.791 7.903
Mg Sc Al Zn
1 4 2 1
Cartesian
0.000 0.000 0.000
0.000 0.000 3.059
0.000 0.000 9.003
0.000 0.000 14.707
0.000 0.000 20.651
0.000 0.000 6.026
0.000 0.000 17.684
0.000 0.000 11.855
```

DOS at the Fermi energy = 5.70 states/eV per cell
final energy = -38.6 eV per cell
space-group type = No. 166

Entry 2:
The following is a DFT calculation (GGA-PBE) of crystalline BaMnBrCl4 at its relaxed geometry.

Cell and atoms, written as POSCAR:
```
BaMnBrCl4
1.0
6.209 -4.921 0.000
6.209 4.921 0.000
-3.194 0.000 8.643
Ba Mn Br Cl
2 2 2 8
Cartesian
2.319 0.000 0.865
6.905 0.000 7.778
2.019 0.000 6.306
7.205 0.000 2.337
-2.492 0.000 6.759
11.716 0.000 1.883
1.124 1.733 7.560
1.343 0.000 4.230
5.018 0.000 2.601
1.124 -1.733 7.560
8.100 1.733 1.083
4.206 0.000 6.042
7.881 0.000 4.413
8.100 -1.733 1.083
```

DOS at the Fermi energy = 3.80 states/eV per cell
final energy = -60.7 eV per cell
space-group type = No. 12

Entry 3:
The following is a DFT calculation (GGA-PBE) of crystalline BaYRe2 at its relaxed geometry.

Cell and atoms, written as POSCAR:
```
BaYRe2
1.0
4.562 0.000 0.000
0.000 4.562 0.000
0.000 0.000 4.434
Ba Y Re
1 1 2
Cartesian
0.000 0.000 0.000
2.281 2.281 0.000
0.000 2.281 2.217
2.281 0.000 2.217
```

distance to the lowest polymorph of the same formula = 1.126 eV per atom
DOS at the Fermi energy = 3.99 states/eV per cell
final energy = -27.7 eV per cell
space-group type = No. 123

Entry 4:
The following is a DFT calculation (GGA-PBE) of crystalline Ba2AcRhO5 at its relaxed geometry.

Cell and atoms, written as POSCAR:
```
Ba2AcRhO5
1.0
-1.988 2.983 6.380
1.988 -2.983 6.380
1.988 2.983 -6.380
Ba Ac Rh O
2 1 1 5
Cartesian
0.000 0.000 2.588
0.000 0.000 10.172
0.000 2.983 0.000
1.988 0.000 0.000
0.000 0.000 0.000
1.988 1.556 -1.448
1.988 1.556 1.448
0.000 1.427 4.931
0.000 1.427 7.828
```

DOS at the Fermi energy = 2.44 states/eV per cell
final energy = -59.5 eV per cell
space-group type = No. 71